No. 1
Na2HfRh (PBE-GGA, optimized geometry); density of states at the Fermi level = 4.1 states/eV/f.u.; ΔE_f = 0.628 eV/atom; space-group type = No. 122; crystal system = tetragonal
1.0
8.899 0.000 0.000
0.000 8.899 0.000
4.450 4.450 2.479
Hf Na Rh
2 4 2
direct
0.000 0.000 0.000 Hf
0.750 0.250 0.500 Hf
0.560 0.125 0.250 Na
0.875 0.810 0.750 Na
0.375 0.440 0.750 Na
0.190 0.625 0.250 Na
0.500 0.500 0.000 Rh
0.250 0.750 0.500 Rh

---

No. 2
NaHf2Rh2 (PBE-GGA, optimized geometry); density of states at the Fermi level = 3.3 states/eV/f.u.; ΔE_f = -0.505 eV/atom; space-group type = No. 127; crystal system = tetragonal
1.0
7.859 0.000 0.000
0.000 7.859 0.000
0.000 0.000 3.111
Hf Na Rh
4 2 4
direct
0.852 0.352 0.500 Hf
0.648 0.852 0.500 Hf
0.352 0.148 0.500 Hf
0.148 0.648 0.500 Hf
0.500 0.500 0.000 Na
0.000 0.000 0.000 Na
0.859 0.641 0.000 Rh
0.359 0.859 0.000 Rh
0.141 0.359 0.000 Rh
0.641 0.141 0.000 Rh

---

No. 3
Na3HfRh (PBE-GGA, optimized geometry); density of states at the Fermi level = 5.5 states/eV/f.u.; ΔE_f = 1.235 eV/atom; space-group type = No. 221; crystal system = cubic
1.0
-1.427 4.601 -1.878
-4.818 -0.802 1.697
1.219 2.219 4.509
Rh Na Hf
1 3 1
direct
0.000 0.000 0.000 Rh
0.000 0.000 0.500 Na
0.000 0.500 0.000 Na
0.500 0.000 0.000 Na
0.500 0.500 0.500 Hf

---

No. 4
NaHf3Rh (PBE-GGA, optimized geometry); density of states at the Fermi level = 7.8 states/eV/f.u.; ΔE_f = 1.737 eV/atom; space-group type = No. 221; crystal system = cubic
1.0
4.813 0.000 0.000
0.000 4.813 0.000
0.000 0.000 4.813
Rh Na Hf
1 1 3
direct
0.500 0.500 0.500 Rh
0.000 0.000 0.000 Na
0.000 0.500 0.000 Hf
0.500 0.000 0.000 Hf
0.000 0.000 0.500 Hf

---

No. 5
NaHf2Rh (PBE-GGA, optimized geometry); density of states at the Fermi level = 1.6 states/eV/f.u.; ΔE_f = 0.058 eV/atom; space-group type = No. 225; crystal system = cubic
1.0
0.000 3.358 3.358
3.358 0.000 3.358
3.358 3.358 0.000
Rh Hf Na
1 2 1
direct
0.500 0.500 0.500 Rh
0.250 0.250 0.250 Hf
0.750 0.750 0.750 Hf
0.000 0.000 0.000 Na

---

No. 6
NaHf2Rh (PBE-GGA, optimized geometry); density of states at the Fermi level = 2.1 states/eV/f.u.; ΔE_f = 0.267 eV/atom; space-group type = No. 122; crystal system = tetragonal
1.0
7.698 0.000 0.000
0.000 7.698 0.000
3.849 3.849 2.964
Rh Na Hf
2 2 4
direct
0.750 0.250 0.500 Rh
0.000 0.000 0.000 Rh
0.500 0.500 0.000 Na
0.250 0.750 0.500 Na
0.677 0.125 0.250 Hf
0.073 0.625 0.250 Hf
0.375 0.323 0.750 Hf
0.875 0.927 0.750 Hf

---

No. 7
Na3Hf2RhS6 (PBE-GGA, optimized geometry); density of states at the Fermi level = 3.1 states/eV/f.u.; space-group type = No. 12; DFT total energy = -5.879 eV per atom; crystal system = monoclinic
1.0
6.350 0.059 -0.098
-3.122 5.530 -0.098
-1.181 -2.045 6.809
Na Rh S Hf
3 1 6 2
direct
0.830 0.170 0.500 Na
0.500 0.500 0.500 Na
0.170 0.830 0.500 Na
0.000 0.000 0.000 Rh
0.605 0.934 0.799 S
0.718 0.718 0.245 S
0.066 0.395 0.201 S
0.282 0.282 0.755 S
0.934 0.605 0.799 S
0.395 0.066 0.201 S
0.341 0.659 0.000 Hf
0.659 0.341 0.000 Hf

---

No. 8
Na4Hf3RhS8 (PBE-GGA, optimized geometry); density of states at the Fermi level = 6.6 states/eV/f.u.; space-group type = No. 166; DFT total energy = -5.995 eV per atom; crystal system = trigonal
1.0
-5.529 -2.412 -4.199
-3.196 -3.639 6.299
1.324 7.209 0.549
Hf S Na Rh
3 8 4 1
direct
0.500 0.500 0.000 Hf
0.500 0.500 0.500 Hf
0.000 0.500 0.500 Hf
0.739 0.716 0.977 S
0.762 0.284 0.023 S
0.238 0.715 0.476 S
0.261 0.284 0.023 S
0.762 0.285 0.524 S
0.260 0.280 0.520 S
0.238 0.716 0.977 S
0.740 0.720 0.480 S
0.500 0.000 0.000 Na
0.000 0.000 0.500 Na
0.000 0.000 0.000 Na
0.500 0.000 0.500 Na
0.000 0.500 0.000 Rh

---

No. 9
Na3Hf2RhSe6 (PBE-GGA, optimized geometry); density of states at the Fermi level = 0.0 states/eV/f.u.; space-group type = No. 12; DFT total energy = -5.404 eV per atom; crystal system = monoclinic
1.0
6.703 0.004 0.000
-3.347 5.808 0.000
-1.118 -1.936 7.003
Se Na Rh Hf
6 3 1 2
direct
0.927 0.590 0.782 Se
0.073 0.410 0.218 Se
0.735 0.735 0.217 Se
0.410 0.073 0.218 Se
0.590 0.927 0.782 Se
0.265 0.265 0.783 Se
0.500 0.500 0.500 Na
0.836 0.164 0.500 Na
0.164 0.836 0.500 Na
0.000 0.000 0.000 Rh
0.667 0.333 0.000 Hf
0.333 0.667 0.000 Hf

---

No. 10
NaHf3Ru (PBE-GGA, optimized geometry); density of states at the Fermi level = 5.5 states/eV/f.u.; ΔE_f = 0.419 eV/atom; space-group type = No. 221; crystal system = cubic
1.0
5.055 0.000 0.000
0.000 5.055 0.000
0.000 0.000 5.055
Ru Hf Na
1 3 1
direct
0.000 0.000 0.000 Ru
0.500 0.000 0.000 Hf
0.000 0.000 0.500 Hf
0.000 0.500 0.000 Hf
0.500 0.500 0.500 Na

---

No. 11
NaHf2Ru2 (PBE-GGA, optimized geometry); density of states at the Fermi level = 3.9 states/eV/f.u.; ΔE_f = -0.194 eV/atom; space-group type = No. 127; crystal system = tetragonal
1.0
7.758 0.000 0.000
0.000 7.758 0.000
0.000 0.000 3.158
Hf Ru Na
4 4 2
direct
0.852 0.352 0.500 Hf
0.148 0.648 0.500 Hf
0.648 0.852 0.500 Hf
0.352 0.148 0.500 Hf
0.859 0.641 0.000 Ru
0.141 0.359 0.000 Ru
0.641 0.141 0.000 Ru
0.359 0.859 0.000 Ru
0.500 0.500 0.000 Na
0.000 0.000 0.000 Na

---

No. 12
NaHf2Ru (PBE-GGA, optimized geometry); density of states at the Fermi level = 1.9 states/eV/f.u.; ΔE_f = 0.094 eV/atom; space-group type = No. 225; crystal system = cubic
1.0
0.000 3.351 3.351
3.351 0.000 3.351
3.351 3.351 0.000
Ru Hf Na
1 2 1
direct
0.500 0.500 0.500 Ru
0.250 0.250 0.250 Hf
0.750 0.750 0.750 Hf
0.000 0.000 0.000 Na

---

No. 13
NaHfRu3 (PBE-GGA, optimized geometry); density of states at the Fermi level = 4.9 states/eV/f.u.; ΔE_f = 1.357 eV/atom; space-group type = No. 221; crystal system = cubic
1.0
4.867 0.000 0.000
0.000 4.867 0.000
0.000 0.000 4.867
Na Ru Hf
1 3 1
direct
0.500 0.500 0.500 Na
0.000 0.500 0.000 Ru
0.000 0.000 0.500 Ru
0.500 0.000 0.000 Ru
0.000 0.000 0.000 Hf

---

No. 14
NaHf2Ru (PBE-GGA, optimized geometry); density of states at the Fermi level = 4.8 states/eV/f.u.; ΔE_f = 0.470 eV/atom; space-group type = No. 122; crystal system = tetragonal
1.0
7.632 0.000 0.000
0.000 7.632 0.000
3.816 3.816 3.003
Ru Hf Na
2 4 2
direct
0.000 0.000 0.000 Ru
0.750 0.250 0.500 Ru
0.074 0.625 0.250 Hf
0.375 0.324 0.750 Hf
0.875 0.926 0.750 Hf
0.676 0.125 0.250 Hf
0.250 0.750 0.500 Na
0.500 0.500 0.000 Na

---

No. 15
NaHf3Ru (PBE-GGA, optimized geometry); density of states at the Fermi level = 7.6 states/eV/f.u.; ΔE_f = 1.914 eV/atom; space-group type = No. 221; crystal system = cubic
1.0
-2.643 -0.580 -3.953
-0.201 -4.715 0.826
-3.990 0.621 2.577
Ru Na Hf
1 1 3
direct
0.500 0.500 0.500 Ru
0.000 0.000 0.000 Na
0.000 0.000 0.500 Hf
0.500 0.000 0.000 Hf
0.000 0.500 0.000 Hf

---

No. 16
NaHfSiRu2 (PBE-GGA, optimized geometry); density of states at the Fermi level = 5.0 states/eV/f.u.; space-group type = No. 123; DFT total energy = -5.514 eV per atom; crystal system = tetragonal
1.0
-0.270 -4.290 1.951
4.052 1.171 3.134
-2.993 1.665 3.248
Ru Hf Na Si
2 1 1 1
direct
0.000 0.000 0.500 Ru
0.500 0.000 0.000 Ru
0.000 0.000 0.000 Hf
0.000 0.500 0.000 Na
0.500 0.500 0.500 Si

---

No. 17
NaSrHfRu2 (PBE-GGA, optimized geometry); density of states at the Fermi level = 4.8 states/eV/f.u.; ΔE_f = 0.738 eV/atom; space-group type = No. 123; crystal system = tetragonal
1.0
4.855 0.000 0.000
0.000 5.482 0.000
0.000 0.000 4.855
Na Ru Sr Hf
1 2 1 1
direct
0.000 0.500 0.000 Na
0.000 0.000 0.500 Ru
0.500 0.000 0.000 Ru
0.500 0.500 0.500 Sr
0.000 0.000 0.000 Hf

---

No. 18
Na3HfS (PBE-GGA, optimized geometry); density of states at the Fermi level = 5.0 states/eV/f.u.; space-group type = No. 221; DFT total energy = -2.270 eV per atom; crystal system = cubic
1.0
-3.220 0.619 5.029
1.535 -5.560 1.667
4.829 2.180 2.824
Hf S Na
1 1 3
direct
0.000 0.000 0.000 Hf
0.500 0.500 0.500 S
0.000 0.000 0.500 Na
0.000 0.500 0.000 Na
0.500 0.000 0.000 Na

---

No. 19
NaHf4S8 (PBE-GGA, optimized geometry); density of states at the Fermi level = 2.9 states/eV/f.u.; space-group type = No. 166; DFT total energy = -7.293 eV per atom; crystal system = trigonal
1.0
-6.075 -1.831 3.484
-0.239 -6.093 3.900
0.094 0.926 8.169
S Na Hf
8 1 4
direct
0.764 0.764 0.210 S
0.262 0.764 0.210 S
0.236 0.738 0.790 S
0.264 0.264 0.207 S
0.764 0.262 0.210 S
0.738 0.236 0.790 S
0.236 0.236 0.790 S
0.736 0.736 0.793 S
0.500 0.500 0.500 Na
0.500 0.500 0.000 Hf
0.500 0.000 0.000 Hf
0.000 0.000 0.000 Hf
0.000 0.500 0.000 Hf

---

No. 20
Na2HfS (PBE-GGA, optimized geometry); density of states at the Fermi level = 2.1 states/eV/f.u.; space-group type = No. 122; DFT total energy = -4.190 eV per atom; crystal system = tetragonal
1.0
-6.342 -6.188 2.684
6.696 -6.218 1.487
0.393 -5.411 4.421
Na S Hf
4 2 2
direct
0.375 0.465 0.750 Na
0.215 0.625 0.250 Na
0.535 0.125 0.250 Na
0.875 0.785 0.750 Na
0.500 0.500 0.000 S
0.250 0.750 0.500 S
0.000 0.000 0.000 Hf
0.750 0.250 0.500 Hf

---

No. 21
NaHf4S8 (PBE-GGA, optimized geometry); density of states at the Fermi level = 3.0 states/eV/f.u.; space-group type = No. 216; DFT total energy = -7.231 eV per atom; crystal system = cubic
1.0
-5.891 -1.404 -4.509
-0.892 -6.863 -3.020
-5.596 -4.474 2.382
Hf S Na
4 8 1
direct
0.372 0.372 0.885 Hf
0.885 0.372 0.372 Hf
0.372 0.885 0.372 Hf
0.372 0.372 0.372 Hf
0.604 0.132 0.132 S
0.132 0.132 0.604 S
0.612 0.163 0.612 S
0.132 0.604 0.132 S
0.612 0.612 0.612 S
0.163 0.612 0.612 S
0.612 0.612 0.163 S
0.132 0.132 0.132 S
0.750 0.750 0.750 Na

---

No. 22
Na3HfS4 (PBE-GGA, optimized geometry); density of states at the Fermi level = 8.3 states/eV/f.u.; space-group type = No. 65; DFT total energy = -4.987 eV per atom; crystal system = orthorhombic
1.0
-0.983 3.215 -1.690
0.147 -3.195 -6.165
-6.447 -0.657 2.499
Na S Hf
3 4 1
direct
0.000 0.000 0.500 Na
0.500 0.500 0.500 Na
0.000 0.500 0.000 Na
0.500 0.774 0.226 S
0.500 0.226 0.774 S
0.000 0.215 0.215 S
0.000 0.785 0.785 S
0.500 0.000 0.000 Hf

---

No. 23
NaHfS3 (PBE-GGA, optimized geometry); space-group type = No. 15; DFT total energy = -6.026 eV per atom; crystal system = monoclinic
1.0
6.441 -0.418 -0.373
0.155 8.736 -0.771
0.155 0.225 8.767
Na S Hf
4 12 4
direct
0.419 0.217 0.395 Na
0.919 0.395 0.217 Na
0.081 0.605 0.783 Na
0.581 0.783 0.605 Na
0.819 0.314 0.530 S
0.583 0.920 0.323 S
0.083 0.323 0.920 S
0.910 0.952 0.803 S
0.410 0.803 0.952 S
0.590 0.197 0.048 S
0.319 0.530 0.314 S
0.917 0.677 0.080 S
0.090 0.048 0.197 S
0.681 0.470 0.686 S
0.417 0.080 0.677 S
0.181 0.686 0.470 S
0.750 0.211 0.789 Hf
0.250 0.082 0.918 Hf
0.250 0.789 0.211 Hf
0.750 0.918 0.082 Hf